AsRuRh: optimized geometry, PBE-GGA.

a = 4.1082 Å, b = 4.1082 Å, c = 18.9064 Å
α = 90.00°, β = 90.00°, γ = 120.00°
With the nearest neighbours (Å) after each atom.
Fractional coordinates of all 18 atoms:
As  0.0000  0.0000  0.0000  6 Ru 2.48
As  0.6667  0.3333  0.3333  6 Ru 2.48
As  0.6667  0.3333  0.8333  2 Ru 2.44, 6 Rh 2.54
As  0.3333  0.6667  0.6667  6 Ru 2.48
As  0.3333  0.6667  0.1667  2 Ru 2.44, 6 Rh 2.54
As  0.0000  0.0000  0.5000  2 Ru 2.44, 6 Rh 2.54
Rh  0.0000  0.0000  0.7856  3 As 2.54, 3 Ru 2.83
Rh  0.3333  0.6667  0.8811  3 As 2.54, 3 Ru 2.83
Rh  0.6667  0.3333  0.1189  3 As 2.54, 3 Ru 2.83
Rh  0.3333  0.6667  0.4522  3 As 2.54, 3 Ru 2.83
Rh  0.6667  0.3333  0.5478  3 As 2.54, 3 Ru 2.83
Rh  0.0000  0.0000  0.2144  3 As 2.54, 3 Ru 2.83
Ru  0.6667  0.3333  0.7042  4 As 2.44-2.48
Ru  0.0000  0.0000  0.3708  4 As 2.44-2.48
Ru  0.3333  0.6667  0.0375  4 As 2.44-2.48
Ru  0.6667  0.3333  0.9625  4 As 2.44-2.48
Ru  0.3333  0.6667  0.2958  4 As 2.44-2.48
Ru  0.0000  0.0000  0.6292  4 As 2.44-2.48

Computed properties:
- E_tot (hartree per atom) = -0.26634
- formation energy from the elements (eV/atom) = -0.16
- mass density (g/cm3) = 10.06
- polymorph energy (0 for the lowest one) (eV/f.u.) = 0.11